Entry from Alexandria: a relaxed structure of Cs2VReF6 (GGA+U).

**Electronic total energy**: -5.28 eV/atom
**Density of states at the Fermi level**: 0.0 states/eV per cell

Geometry as CIF:
```
data_Cs2VReF6
_cell_length_a 6.141
_cell_length_b 6.141
_cell_length_c 8.870
_cell_angle_alpha 90.00
_cell_angle_beta 90.00
_cell_angle_gamma 90.00
_space_group_name_H-M_alt 'I 4/m m m'
_space_group_IT_number 139
_space_group_name_Hall '-I 4 2'
loop_
_atom_site_label
_atom_site_type_symbol
_atom_site_fract_x
_atom_site_fract_y
_atom_site_fract_z
Cs1 Cs 0.000 0.500 0.250
V1 V 0.000 0.000 0.000
Re1 Re 0.000 0.000 0.500
F1 F 0.000 0.000 0.243
F2 F 0.250 0.250 0.000
```